Below is a PBEsol-optimized structure of LaAl2SnPt, with properties calculated at the meta-GGA SCAN level.

Values from the calculation:
Formation energy from the elements   0.621 eV per atom

Unit cell a=4.8970 b=4.8970 c=5.9983 alpha=90.00 beta=90.00 gamma=90.00
Fractional coordinates of all 5 atoms:
La 0.0000 0.0000 0.0000
Al 0.0000 0.5000 0.5000
Al 0.5000 0.0000 0.5000
Sn 0.0000 0.0000 0.5000
Pt 0.5000 0.5000 0.0000

---

Below is a PBEsol-optimized structure of CaY2AgF, with properties calculated at the meta-GGA SCAN level.

Values from the calculation:
Formation energy without anion corrections   0.670 eV/atom

Unit cell a=5.7576 b=5.7576 c=4.8305 alpha=90.00 beta=90.00 gamma=90.00
Fractional coordinates of all 5 atoms:
Ca 0.0000 0.0000 0.0000
Y 0.0000 0.5000 0.0000
Y 0.5000 0.0000 0.0000
Ag 0.0000 0.0000 0.5000
F 0.5000 0.5000 0.5000

---

Below is a PBEsol-optimized structure of ZnSbPCl2, with properties calculated at the meta-GGA SCAN level.

Values from the calculation:
Formation energy without anion corrections   0.292 eV/atom
Energy above the lowest structure with this stoichiometry   261 meV per atom

Unit cell a=5.0992 b=5.0992 c=5.2170 alpha=90.00 beta=90.00 gamma=90.00
Fractional coordinates of all 5 atoms:
Zn 0.0000 0.0000 0.0000
Sb 0.5000 0.5000 0.5000
P 0.5000 0.5000 0.0000
Cl 0.0000 0.5000 0.5000
Cl 0.5000 0.0000 0.5000

---

Below is a PBEsol-optimized structure of BeAgCl, with properties calculated at the meta-GGA SCAN level.

Values from the calculation:
Formation energy without anion corrections   0.858 eV/atom

Unit cell a=6.1253 b=6.1253 c=6.1253 alpha=90.00 beta=90.00 gamma=90.00
Fractional coordinates of all 12 atoms:
Be 0.0000 0.0000 0.0000
Be 0.0000 0.5000 0.5000
Be 0.5000 0.0000 0.5000
Be 0.5000 0.5000 0.0000
Ag 0.0000 0.0000 0.5000
Ag 0.0000 0.5000 0.0000
Ag 0.5000 0.0000 0.0000
Ag 0.5000 0.5000 0.5000
Cl 0.2500 0.2500 0.7500
Cl 0.2500 0.7500 0.2500
Cl 0.7500 0.2500 0.2500
Cl 0.7500 0.7500 0.7500

---

Below is a PBEsol-optimized structure of FeCoAg, with properties calculated at the meta-GGA SCAN level.

Values from the calculation:
Formation energy from the elements   0.229 eV per atom
Energy above the lowest structure with this stoichiometry   0 meV per atom

Unit cell a=2.9645 b=4.2243 c=12.4809 alpha=90.00 beta=90.00 gamma=90.00
Fractional coordinates of all 12 atoms:
Fe 0.0000 0.0000 0.0000
Fe 0.0000 0.5000 0.5000
Fe 0.5000 0.0000 0.5000
Fe 0.5000 0.5000 0.0000
Co 0.0000 0.0000 0.3584
Co 0.0000 0.5000 0.8584
Co 0.5000 0.0000 0.8584
Co 0.5000 0.5000 0.3584
Ag 0.0000 0.0000 0.6801
Ag 0.0000 0.5000 0.1801
Ag 0.5000 0.0000 0.1801
Ag 0.5000 0.5000 0.6801

---

Below is a PBEsol-optimized structure of MgPPt3, with properties calculated at the meta-GGA SCAN level.

Values from the calculation:
Formation energy from the elements   1.237 eV per atom

Unit cell a=4.5341 b=4.5341 c=4.5341 alpha=90.00 beta=90.00 gamma=90.00
Fractional coordinates of all 5 atoms:
Mg 0.0000 0.0000 0.0000
P 0.5000 0.5000 0.5000
Pt 0.0000 0.0000 0.5000
Pt 0.0000 0.5000 0.0000
Pt 0.5000 0.0000 0.0000

---

Below is a PBEsol-optimized structure of BaNaBi, with properties calculated at the meta-GGA SCAN level.

Values from the calculation:
Formation energy from the elements   -0.868 eV per atom

Unit cell a=8.5920 b=8.5920 c=5.1005 alpha=90.00 beta=90.00 gamma=120.00
Fractional coordinates of all 9 atoms:
Ba 0.0000 0.4179 0.0000
Ba 0.4179 0.0000 0.0000
Ba 0.5821 0.5821 0.0000
Na 0.0000 0.7593 0.5000
Na 0.2407 0.2407 0.5000
Na 0.7593 0.0000 0.5000
Bi 0.0000 0.0000 0.0000
Bi 0.3333 0.6667 0.5000
Bi 0.6667 0.3333 0.5000

---

Below is a PBEsol-optimized structure of LiIrPt3, with properties calculated at the meta-GGA SCAN level.

Values from the calculation:
Formation energy from the elements   0.767 eV per atom
Energy above the lowest structure with this stoichiometry   0 meV per atom

Unit cell a=4.1197 b=4.1197 c=4.1197 alpha=90.00 beta=90.00 gamma=90.00
Fractional coordinates of all 5 atoms:
Li 0.0000 0.0000 0.0000
Ir 0.5000 0.5000 0.5000
Pt 0.0000 0.0000 0.5000
Pt 0.0000 0.5000 0.0000
Pt 0.5000 0.0000 0.0000

---

Below is a PBEsol-optimized structure of SiWSe2N, with properties calculated at the meta-GGA SCAN level.

Values from the calculation:
Formation energy without anion corrections   0.473 eV/atom

Unit cell a=5.0015 b=5.0015 c=3.7666 alpha=90.00 beta=90.00 gamma=90.00
Fractional coordinates of all 5 atoms:
Si 0.0000 0.0000 0.0000
W 0.5000 0.5000 0.5000
Se 0.0000 0.5000 0.5000
Se 0.5000 0.0000 0.5000
N 0.5000 0.5000 0.0000

---

Below is a PBEsol-optimized structure of Sc2NbCd, with properties calculated at the meta-GGA SCAN level.

Values from the calculation:
Formation energy from the elements   0.306 eV per atom

Unit cell a=3.0052 b=3.0052 c=32.1129 alpha=90.00 beta=90.00 gamma=120.00
Fractional coordinates of all 12 atoms:
Sc 0.0000 0.0000 0.0862
Sc 0.0000 0.0000 0.9138
Sc 0.3333 0.6667 0.5804
Sc 0.3333 0.6667 0.7529
Sc 0.6667 0.3333 0.2471
Sc 0.6667 0.3333 0.4196
Nb 0.0000 0.0000 0.0000
Nb 0.3333 0.6667 0.6667
Nb 0.6667 0.3333 0.3333
Cd 0.0000 0.0000 0.5000
Cd 0.3333 0.6667 0.1667
Cd 0.6667 0.3333 0.8333

---

Below is a PBEsol-optimized structure of Ho3Al12Ru4, with properties calculated at the meta-GGA SCAN level.

Values from the calculation:
Formation energy from the elements   -0.768 eV per atom

Unit cell a=8.7104 b=8.7104 c=9.4788 alpha=90.00 beta=90.00 gamma=120.00
Fractional coordinates of all 38 atoms:
Ho 0.1934 0.3867 0.2500
Ho 0.1934 0.8066 0.2500
Ho 0.3867 0.1934 0.7500
Ho 0.6133 0.8066 0.2500
Ho 0.8066 0.1934 0.7500
Ho 0.8066 0.6133 0.7500
Al 0.0000 0.0000 0.2500
Al 0.0000 0.0000 0.7500
Al 0.1217 0.5608 0.7500
Al 0.1625 0.3249 0.5769
Al 0.1625 0.3249 0.9231
Al 0.1625 0.8375 0.5769
Al 0.1625 0.8375 0.9231
Al 0.3249 0.1625 0.0769
Al 0.3249 0.1625 0.4231
Al 0.3333 0.6667 0.0171
Al 0.3333 0.6667 0.4829
Al 0.4392 0.5608 0.7500
Al 0.4392 0.8783 0.7500
Al 0.5608 0.1217 0.2500
Al 0.5608 0.4392 0.2500
Al 0.6667 0.3333 0.5171
Al 0.6667 0.3333 0.9829
Al 0.6751 0.8375 0.5769
Al 0.6751 0.8375 0.9231
Al 0.8375 0.1625 0.0769
Al 0.8375 0.1625 0.4231
Al 0.8375 0.6751 0.0769
Al 0.8375 0.6751 0.4231
Al 0.8783 0.4392 0.2500
Ru 0.0000 0.0000 0.0000
Ru 0.0000 0.0000 0.5000
Ru 0.0000 0.5000 0.0000
Ru 0.0000 0.5000 0.5000
Ru 0.5000 0.0000 0.0000
Ru 0.5000 0.0000 0.5000
Ru 0.5000 0.5000 0.0000
Ru 0.5000 0.5000 0.5000

---

Below is a PBEsol-optimized structure of KSrCo, with properties calculated at the meta-GGA SCAN level.

Values from the calculation:
Formation energy from the elements   1.272 eV per atom

Unit cell a=7.3565 b=7.3565 c=7.3565 alpha=90.00 beta=90.00 gamma=90.00
Fractional coordinates of all 12 atoms:
K 0.0000 0.0000 0.0000
K 0.0000 0.5000 0.5000
K 0.5000 0.0000 0.5000
K 0.5000 0.5000 0.0000
Sr 0.2500 0.2500 0.7500
Sr 0.2500 0.7500 0.2500
Sr 0.7500 0.2500 0.2500
Sr 0.7500 0.7500 0.7500
Co 0.2500 0.2500 0.2500
Co 0.2500 0.7500 0.7500
Co 0.7500 0.2500 0.7500
Co 0.7500 0.7500 0.2500

---

Below is a PBEsol-optimized structure of RbSn2Sb2, with properties calculated at the meta-GGA SCAN level.

Values from the calculation:
Formation energy without anion corrections   -0.164 eV/atom

Unit cell a=5.2992 b=5.2992 c=12.6744 alpha=90.00 beta=90.00 gamma=90.00
Fractional coordinates of all 10 atoms:
Rb 0.0000 0.0000 0.0000
Rb 0.5000 0.5000 0.5000
Sn 0.0000 0.5000 0.2500
Sn 0.0000 0.5000 0.7500
Sn 0.5000 0.0000 0.2500
Sn 0.5000 0.0000 0.7500
Sb 0.0000 0.0000 0.3597
Sb 0.0000 0.0000 0.6403
Sb 0.5000 0.5000 0.1403
Sb 0.5000 0.5000 0.8597

---

Below is a PBEsol-optimized structure of Be3CrO, with properties calculated at the meta-GGA SCAN level.

Values from the calculation:
Formation energy without anion corrections   1.826 eV/atom

Unit cell a=4.2159 b=4.2159 c=4.2159 alpha=90.00 beta=90.00 gamma=90.00
Fractional coordinates of all 5 atoms:
Be 0.0000 0.0000 0.5000
Be 0.0000 0.5000 0.0000
Be 0.5000 0.0000 0.0000
Cr 0.0000 0.0000 0.0000
O 0.5000 0.5000 0.5000

---

Below is a PBEsol-optimized structure of Mg2TiSbC, with properties calculated at the meta-GGA SCAN level.

Values from the calculation:
Formation energy without anion corrections   1.847 eV/atom

Unit cell a=5.4164 b=5.4164 c=5.0332 alpha=90.00 beta=90.00 gamma=90.00
Fractional coordinates of all 5 atoms:
Mg 0.0000 0.5000 0.0000
Mg 0.5000 0.0000 0.0000
Ti 0.0000 0.0000 0.0000
Sb 0.0000 0.0000 0.5000
C 0.5000 0.5000 0.5000

---

Below is a PBEsol-optimized structure of YTi3Hg, with properties calculated at the meta-GGA SCAN level.

Values from the calculation:
Formation energy from the elements   1.455 eV per atom

Unit cell a=4.7169 b=4.7169 c=4.7169 alpha=90.00 beta=90.00 gamma=90.00
Fractional coordinates of all 5 atoms:
Y 0.0000 0.0000 0.0000
Ti 0.0000 0.0000 0.5000
Ti 0.0000 0.5000 0.0000
Ti 0.5000 0.0000 0.0000
Hg 0.5000 0.5000 0.5000

---

Below is a PBEsol-optimized structure of Li2PbSe, with properties calculated at the meta-GGA SCAN level.

Values from the calculation:
Formation energy without anion corrections   -0.631 eV/atom

Unit cell a=3.9280 b=4.1760 c=4.8201 alpha=90.00 beta=90.00 gamma=90.00
Fractional coordinates of all 4 atoms:
Li 0.0000 0.0000 0.0000
Li 0.0000 0.5000 0.5000
Pb 0.5000 0.0000 0.5000
Se 0.5000 0.5000 0.0000

---

Below is a PBEsol-optimized structure of Ca3MgI, with properties calculated at the meta-GGA SCAN level.

Values from the calculation:
Formation energy without anion corrections   -0.063 eV/atom

Unit cell a=5.8163 b=5.8163 c=5.8163 alpha=90.00 beta=90.00 gamma=90.00
Fractional coordinates of all 5 atoms:
Ca 0.0000 0.0000 0.5000
Ca 0.0000 0.5000 0.0000
Ca 0.5000 0.0000 0.0000
Mg 0.5000 0.5000 0.5000
I 0.0000 0.0000 0.0000

---

Below is a PBEsol-optimized structure of FeTc2BPt, with properties calculated at the meta-GGA SCAN level.

Values from the calculation:
Formation energy from the elements   2.370 eV per atom

Unit cell a=4.6596 b=4.6596 c=4.5418 alpha=90.00 beta=90.00 gamma=90.00
Fractional coordinates of all 5 atoms:
Fe 0.0000 0.0000 0.0000
Tc 0.0000 0.5000 0.5000
Tc 0.5000 0.0000 0.5000
B 0.5000 0.5000 0.0000
Pt 0.0000 0.0000 0.5000

---

Below is a PBEsol-optimized structure of AlTl2PAu, with properties calculated at the meta-GGA SCAN level.

Values from the calculation:
Formation energy from the elements   0.532 eV per atom

Unit cell a=5.3811 b=5.3811 c=4.5961 alpha=90.00 beta=90.00 gamma=90.00
Fractional coordinates of all 5 atoms:
Al 0.0000 0.0000 0.0000
Tl 0.0000 0.5000 0.5000
Tl 0.5000 0.0000 0.5000
P 0.5000 0.5000 0.5000
Au 0.5000 0.5000 0.0000

---

Below is a PBEsol-optimized structure of TaSi2Tc, with properties calculated at the meta-GGA SCAN level.

Values from the calculation:
Formation energy without anion corrections   -0.127 eV/atom
Energy above the lowest structure with this stoichiometry   372 meV per atom

Unit cell a=6.0763 b=6.0763 c=6.0763 alpha=90.00 beta=90.00 gamma=90.00
Fractional coordinates of all 16 atoms:
Ta 0.0000 0.0000 0.0000
Ta 0.0000 0.5000 0.5000
Ta 0.5000 0.0000 0.5000
Ta 0.5000 0.5000 0.0000
Si 0.2500 0.2500 0.2500
Si 0.2500 0.2500 0.7500
Si 0.2500 0.7500 0.2500
Si 0.2500 0.7500 0.7500
Si 0.7500 0.2500 0.2500
Si 0.7500 0.2500 0.7500
Si 0.7500 0.7500 0.2500
Si 0.7500 0.7500 0.7500
Tc 0.0000 0.0000 0.5000
Tc 0.0000 0.5000 0.0000
Tc 0.5000 0.0000 0.0000
Tc 0.5000 0.5000 0.5000

---

Below is a PBEsol-optimized structure of P3C, with properties calculated at the meta-GGA SCAN level.

Values from the calculation:
Formation energy from the elements   1.377 eV per atom
Energy above the lowest structure with this stoichiometry   692 meV per atom

Unit cell a=2.9782 b=2.9782 c=27.0448 alpha=90.00 beta=90.00 gamma=90.00
Fractional coordinates of all 16 atoms:
P 0.0000 0.0000 0.1249
P 0.0000 0.0000 0.8751
P 0.0000 0.5000 0.0000
P 0.0000 0.5000 0.2500
P 0.0000 0.5000 0.5000
P 0.0000 0.5000 0.7500
P 0.5000 0.0000 0.0000
P 0.5000 0.0000 0.2500
P 0.5000 0.0000 0.5000
P 0.5000 0.0000 0.7500
P 0.5000 0.5000 0.3751
P 0.5000 0.5000 0.6249
C 0.0000 0.0000 0.3749
C 0.0000 0.0000 0.6251
C 0.5000 0.5000 0.1251
C 0.5000 0.5000 0.8749

---

Below is a PBEsol-optimized structure of CrMoBr2, with properties calculated at the meta-GGA SCAN level.

Values from the calculation:
Formation energy without anion corrections   0.185 eV/atom
Energy above the lowest structure with this stoichiometry   0 meV per atom

Unit cell a=3.0446 b=3.0446 c=8.2295 alpha=90.00 beta=90.00 gamma=90.00
Fractional coordinates of all 4 atoms:
Cr 0.0000 0.0000 0.0000
Mo 0.5000 0.5000 0.2075
Br 0.0000 0.0000 0.4037
Br 0.5000 0.5000 0.7972

---

Below is a PBEsol-optimized structure of ScCdPb2, with properties calculated at the meta-GGA SCAN level.

Values from the calculation:
Formation energy from the elements   -0.261 eV per atom

Unit cell a=11.4246 b=3.4481 c=5.2447 alpha=90.00 beta=109.78 gamma=90.00
Fractional coordinates of all 8 atoms:
Sc 0.0000 0.0000 0.0000
Sc 0.5000 0.5000 0.0000
Cd 0.2330 0.5000 0.3671
Cd 0.7330 0.0000 0.3671
Pb 0.2544 0.0000 0.8911
Pb 0.4885 0.0000 0.5038
Pb 0.7544 0.5000 0.8911
Pb 0.9885 0.5000 0.5038

---

Below is a PBEsol-optimized structure of Na5AsO5, with properties calculated at the meta-GGA SCAN level.

Values from the calculation:
Formation energy without anion corrections   -1.735 eV/atom

Unit cell a=5.9541 b=16.4062 c=6.4327 alpha=90.00 beta=90.00 gamma=90.00
Fractional coordinates of all 44 atoms:
Na 0.0648 0.0889 0.2500
Na 0.0648 0.4111 0.7500
Na 0.0693 0.7500 0.0000
Na 0.0693 0.7500 0.5000
Na 0.3634 0.5858 0.0057
Na 0.3634 0.5858 0.4943
Na 0.3634 0.9142 0.5057
Na 0.3634 0.9142 0.9943
Na 0.4173 0.2306 0.2500
Na 0.4173 0.2694 0.7500
Na 0.5827 0.7306 0.2500
Na 0.5827 0.7694 0.7500
Na 0.6366 0.0858 0.0057
Na 0.6366 0.0858 0.4943
Na 0.6366 0.4142 0.5057
Na 0.6366 0.4142 0.9943
Na 0.9307 0.2500 0.0000
Na 0.9307 0.2500 0.5000
Na 0.9352 0.5889 0.2500
Na 0.9352 0.9111 0.7500
As 0.1974 0.0957 0.7500
As 0.1974 0.4043 0.2500
As 0.8026 0.5957 0.7500
As 0.8026 0.9043 0.2500
O 0.0715 0.5582 0.7500
O 0.0715 0.9418 0.2500
O 0.2381 0.6761 0.2500
O 0.2381 0.8239 0.7500
O 0.2499 0.1551 0.5345
O 0.2499 0.1551 0.9655
O 0.2499 0.3449 0.0345
O 0.2499 0.3449 0.4655
O 0.3943 0.0192 0.7500
O 0.3943 0.4808 0.2500
O 0.6057 0.5192 0.7500
O 0.6057 0.9808 0.2500
O 0.7501 0.6551 0.5345
O 0.7501 0.6551 0.9655
O 0.7501 0.8449 0.0345
O 0.7501 0.8449 0.4655
O 0.7619 0.1761 0.2500
O 0.7619 0.3239 0.7500
O 0.9285 0.0582 0.7500
O 0.9285 0.4418 0.2500